Entry from Alexandria via LeMat-Bulk: crystalline Sc2HgTe at its relaxed geometry (PBE).

```
Sc2HgTe
1.0
3.684 0.000 0.000
0.000 3.684 0.000
0.000 0.000 6.767
Sc Hg Te
2 1 1
Direct
0.000 0.000 0.496
0.000 0.000 0.004
0.500 0.500 0.750
0.500 0.500 0.250
```

Values from the calculation:
Formation energy from raw total energies (eV/atom): -0.60
Total magnetic moment (μB/cell): 1.1
V (Å³/atom): 22.965

---

Entry from Alexandria via LeMat-Bulk: crystalline Sc2HgTe at its relaxed geometry (PBE).

```
Sc2HgTe
1.0
3.851 0.000 0.000
1.925 3.335 0.000
1.925 1.112 7.796
Sc Te Hg
2 1 1
Direct
0.251 0.251 0.247
0.082 0.082 0.754
0.668 0.668 0.996
0.499 0.499 0.503
```

Values from the calculation:
Formation energy from raw total energies (eV/atom): -0.62
Total magnetic moment (μB/cell): 0.0
V (Å³/atom): 25.028

---

Entry from Alexandria via LeMat-Bulk: crystalline ScHgTe3 at its relaxed geometry (PBE).

```
ScHgTe3
1.0
4.420 0.000 0.000
0.000 6.266 -0.288
0.000 -3.352 12.242
Hg Te Sc
2 6 2
Direct
0.750 0.910 0.370
0.250 0.090 0.630
0.250 0.206 0.397
0.250 0.159 0.925
0.750 0.841 0.075
0.750 0.483 0.209
0.750 0.794 0.603
0.250 0.517 0.791
0.750 0.837 0.839
0.250 0.163 0.161
```

Values from the calculation:
Formation energy from raw total energies (eV/atom): -0.54
Total magnetic moment (μB/cell): 0.0
V (Å³/atom): 33.476

---

Entry from Alexandria via LeMat-Bulk: crystalline Sc2HgTe at its relaxed geometry (PBE).

```
Sc2HgTe
1.0
0.000 3.580 3.580
3.580 0.000 3.580
3.580 3.580 0.000
Te Hg Sc
1 1 2
Direct
0.000 0.000 0.000
0.500 0.500 0.500
0.750 0.750 0.750
0.250 0.250 0.250
```

Values from the calculation:
Formation energy from raw total energies (eV/atom): -0.50
Total magnetic moment (μB/cell): 0.0
V (Å³/atom): 22.951

---

Entry from Alexandria via LeMat-Bulk: crystalline ScHgTe3 at its relaxed geometry (PBE).

```
ScHgTe3
1.0
-3.887 3.808 0.999
-3.677 -3.009 -2.834
-1.407 -2.655 4.646
Te Sc Hg
3 1 1
Direct
0.000 0.000 0.500
0.500 0.000 0.000
0.000 0.500 0.000
0.500 0.500 0.500
0.000 0.000 0.000
```

Values from the calculation:
Formation energy from raw total energies (eV/atom): 0.39
Total magnetic moment (μB/cell): 0.0
V (Å³/atom): 33.870

---

Entry from Alexandria via LeMat-Bulk: crystalline Sc4HgTe3 at its relaxed geometry (PBE).

```
Sc4HgTe3
1.0
-4.401 -5.440 1.222
6.843 -2.408 -0.127
0.622 1.336 8.182
Sc Te Hg
8 6 2
Direct
0.992 0.241 0.635
0.500 0.759 0.122
0.000 0.759 0.878
0.492 0.241 0.365
0.000 0.241 0.122
0.008 0.759 0.365
0.508 0.759 0.635
0.500 0.241 0.878
0.250 0.500 0.875
0.750 0.500 0.621
0.250 0.500 0.379
0.750 0.500 0.125
0.250 0.000 0.623
0.750 0.000 0.377
0.250 0.000 0.122
0.750 0.000 0.878
```

Values from the calculation:
Formation energy from raw total energies (eV/atom): -0.92
Total magnetic moment (μB/cell): 0.0
V (Å³/atom): 25.250

---

Entry from Alexandria via LeMat-Bulk: crystalline ScHg3Te at its relaxed geometry (PBE).

```
ScHg3Te
1.0
-0.541 5.505 0.416
-4.899 -0.672 2.513
2.544 -0.123 4.928
Sc Hg Te
1 3 1
Direct
0.000 0.000 0.000
0.000 0.000 0.500
0.000 0.500 0.000
0.500 0.000 0.000
0.500 0.500 0.500
```

Values from the calculation:
Formation energy from raw total energies (eV/atom): 0.31
Total magnetic moment (μB/cell): 0.0
V (Å³/atom): 34.134

---

Entry from Alexandria via LeMat-Bulk: crystalline Sc2HgTe at its relaxed geometry (PBE).

```
Sc2HgTe
1.0
1.183 4.435 8.674
2.739 1.086 9.361
4.754 3.788 7.705
Sc Hg Te
2 1 1
Direct
0.101 0.101 0.101
0.899 0.899 0.899
0.000 0.000 0.000
0.500 0.500 0.500
```

Values from the calculation:
Formation energy from raw total energies (eV/atom): -0.25
Total magnetic moment (μB/cell): 0.0
V (Å³/atom): 29.239